A geometry-optimized La2CuOs structure, computed with PBE-GGA.

The calculation puts the formation energy at 0.1815 eV per atom. Its density of states at the Fermi level is 4.781 states/eV/f.u. As for the space group: No. 216. For the total energy, the calculation gives -6.1137 eV/atom.

Lattice parameters (Å, degrees): 4.9065 4.9065 4.9065 60.00 60.00 60.00
Last column: nearest neighbours and their distance in Å.
Positions (direct):
La (0.0000, 0.0000, 0.0000)  4 Cu 3.00, 4 La 3.00
La (0.2500, 0.2500, 0.2500)  4 La 3.00, 4 Os 3.00
Cu (0.7500, 0.7500, 0.7500)  4 La 3.00, 4 Os 3.00
Os (0.5000, 0.5000, 0.5000)  4 Cu 3.00, 4 La 3.00

***

A geometry-optimized Pm2TmPa2Co5 structure, computed with PBE-GGA.

The calculation puts the formation energy at -0.1109 eV per atom. Its density of states at the Fermi level is 5.567 states/eV/f.u. As for the space group: No. 127. For the total energy, the calculation gives -6.9603 eV/atom.

Lattice parameters (Å, degrees): 10.5792 10.5792 3.4639 90.00 90.00 90.00
Last column: nearest neighbours and their distance in Å.
Positions (direct):
Pm (0.1730, 0.3270, 0.0000)  1 Pa 2.87, 6 Co 3.09-3.11
Pm (0.3270, 0.8270, 0.0000)  1 Pa 2.87, 6 Co 3.09-3.11
Pm (0.6730, 0.1730, 0.0000)  1 Pa 2.87, 6 Co 3.09-3.11
Pm (0.8270, 0.6730, 0.0000)  1 Pa 2.87, 6 Co 3.09-3.11
Tm (0.0000, 0.0000, 0.0000)  8 Co 2.94
Tm (0.5000, 0.5000, 0.0000)  8 Co 2.94
Pa (0.1350, 0.6350, 0.0000)  6 Co 2.51-2.66
Pa (0.3650, 0.1350, 0.0000)  6 Co 2.51-2.66
Pa (0.6350, 0.8650, 0.0000)  6 Co 2.51-2.66
Pa (0.8650, 0.3650, 0.0000)  6 Co 2.51-2.66
Co (0.0000, 0.5000, 0.5000)  4 Pa 2.66
Co (0.0435, 0.7796, 0.5000)  2 Pa 2.51
Co (0.2204, 0.0435, 0.5000)  2 Pa 2.51
Co (0.2796, 0.5435, 0.5000)  2 Pa 2.51
Co (0.4565, 0.2796, 0.5000)  2 Pa 2.51
Co (0.5000, 0.0000, 0.5000)  4 Pa 2.66
Co (0.5435, 0.7204, 0.5000)  2 Pa 2.51
Co (0.7204, 0.4565, 0.5000)  2 Pa 2.51
Co (0.7796, 0.9565, 0.5000)  2 Pa 2.51
Co (0.9565, 0.2204, 0.5000)  2 Pa 2.51

***

Q: What is the formula in the first record?
A: La2CuOs

***

Q: Which formula does entry 2 have?
A: Pm2TmPa2Co5